Computed, not measured: crystalline Hf5Tl2In at its relaxed geometry at the PBE level of DFT.

## Properties
ΔE_f = -9 meV per atom

abc: 9.656 9.656 9.656
angles: 153.58 153.58 37.71
Element x y z (fractional)
Hf 0.000 0.000 0.000
Hf 0.122 0.622 0.500
Hf 0.378 0.878 0.500
Hf 0.622 0.122 0.500
Hf 0.878 0.378 0.500
Tl 0.250 0.250 0.000
Tl 0.750 0.750 0.000
In 0.500 0.500 0.000

---

Computed, not measured: crystalline RbNiI2Br at its relaxed geometry at the PBE level of DFT.

## Properties
E_form (uncorrected) = -305 kJ/mol of formula units

abc: 5.501 5.501 5.158
angles: 90.00 90.00 90.00
Element x y z (fractional)
Rb 0.000 0.000 0.000
Ni 0.500 0.500 0.500
I 0.000 0.500 0.500
I 0.500 0.000 0.500
Br 0.500 0.500 0.000